Record 1
Computed, not measured: a geometry-optimized Nd5Sm3Cd2 structure at the GGA-PBE level of DFT.

Cell: 10.066 10.066 6.656 Å, 91.09 91.09 107.02°
Fractional coordinates of all 20 atoms:
Nd: 0.008 0.693 0.400
Nd: 0.033 0.967 0.750
Nd: 0.196 0.299 0.033
Nd: 0.299 0.196 0.533
Nd: 0.307 0.992 0.100
Nd: 0.693 0.008 0.900
Nd: 0.701 0.804 0.467
Nd: 0.804 0.701 0.967
Nd: 0.967 0.033 0.250
Nd: 0.992 0.307 0.600
Sm: 0.143 0.629 0.915
Sm: 0.371 0.857 0.585
Sm: 0.461 0.539 0.750
Sm: 0.539 0.461 0.250
Sm: 0.629 0.143 0.415
Sm: 0.857 0.371 0.085
Cd: 0.248 0.539 0.385
Cd: 0.461 0.752 0.115
Cd: 0.539 0.248 0.885
Cd: 0.752 0.461 0.615

Its crystal system is monoclinic. Its space group is C2/c, No. 15. The energy of formation from the pure elements is -72 meV per atom. As for the total energy: -4.05 eV/atom. Its magnetization is 0.00 Bohr magnetons per cell.

Record 2
Computed, not measured: a geometry-optimized Nd6Sm12Cd structure at the GGA-PBE level of DFT.

Cell: 8.647 8.647 8.647 Å, 89.04 89.04 89.04°
Fractional coordinates of all 19 atoms:
Nd: 0.205 0.595 0.762
Nd: 0.238 0.795 0.405
Nd: 0.405 0.238 0.795
Nd: 0.595 0.762 0.205
Nd: 0.762 0.205 0.595
Nd: 0.795 0.405 0.238
Sm: 0.036 0.282 0.934
Sm: 0.066 0.964 0.718
Sm: 0.138 0.320 0.483
Sm: 0.282 0.934 0.036
Sm: 0.320 0.483 0.138
Sm: 0.483 0.138 0.320
Sm: 0.517 0.862 0.680
Sm: 0.680 0.517 0.862
Sm: 0.718 0.066 0.964
Sm: 0.862 0.680 0.517
Sm: 0.934 0.036 0.282
Sm: 0.964 0.718 0.066
Cd: 0.500 0.500 0.500

Its crystal system is trigonal. Its space group is R-3, No. 148. The energy of formation from the pure elements is 91 meV per atom. As for the total energy: -4.44 eV/atom. For the distance to the lowest polymorph of the same formula, the calculation gives 0.000 eV/atom. Its magnetization is 0.00 Bohr magnetons per cell.

Record 3
Computed, not measured: a geometry-optimized Nd6SmCd2 structure at the GGA-PBE level of DFT.

Cell: 9.844 9.844 6.250 Å, 94.88 94.88 73.17°
Fractional coordinates of all 18 atoms:
Nd: 0.067 0.819 0.991
Nd: 0.148 0.401 0.164
Nd: 0.181 0.933 0.509
Nd: 0.232 0.532 0.688
Nd: 0.401 0.148 0.664
Nd: 0.468 0.768 0.812
Nd: 0.532 0.232 0.188
Nd: 0.599 0.852 0.336
Nd: 0.768 0.468 0.312
Nd: 0.819 0.067 0.491
Nd: 0.852 0.599 0.836
Nd: 0.933 0.181 0.009
Sm: 0.396 0.604 0.250
Sm: 0.604 0.396 0.750
Cd: 0.040 0.288 0.593
Cd: 0.288 0.040 0.093
Cd: 0.712 0.960 0.907
Cd: 0.960 0.712 0.407

Its crystal system is monoclinic. Its space group is C2/c, No. 15. The energy of formation from the pure elements is -69 meV per atom. As for the total energy: -3.97 eV/atom. For the distance to the lowest polymorph of the same formula, the calculation gives 0.064 eV/atom. Its magnetization is 0.00 Bohr magnetons per cell.

Record 4
Computed, not measured: a geometry-optimized Nd3SmCd3 structure at the GGA-PBE level of DFT.

Cell: 7.708 7.708 7.270 Å, 90.00 90.00 90.52°
Fractional coordinates of all 14 atoms:
Nd: 0.239 0.239 0.500
Nd: 0.240 0.240 0.000
Nd: 0.244 0.756 0.000
Nd: 0.756 0.244 0.000
Nd: 0.760 0.760 0.000
Nd: 0.761 0.761 0.500
Sm: 0.245 0.755 0.500
Sm: 0.755 0.245 0.500
Cd: 0.000 0.500 0.253
Cd: 0.000 0.500 0.747
Cd: 0.500 0.000 0.253
Cd: 0.500 0.000 0.747
Cd: 0.500 0.500 0.253
Cd: 0.500 0.500 0.747

Its crystal system is orthorhombic. Its space group is Cmmm, No. 65. The energy of formation from the pure elements is -159 meV per atom. As for the total energy: -3.27 eV/atom. Its magnetization is 2.24 Bohr magnetons per cell.

Record 5
Computed, not measured: a geometry-optimized NdSm5Cd6 structure at the GGA-PBE level of DFT.

Cell: 8.518 8.518 7.694 Å, 90.00 90.00 143.15°
Fractional coordinates of all 12 atoms:
Nd: 0.000 0.000 0.000
Sm: 0.000 0.000 0.500
Sm: 0.333 0.667 0.000
Sm: 0.334 0.666 0.500
Sm: 0.666 0.334 0.500
Sm: 0.667 0.333 0.000
Cd: 0.168 0.832 0.252
Cd: 0.168 0.832 0.748
Cd: 0.500 0.500 0.252
Cd: 0.500 0.500 0.748
Cd: 0.832 0.168 0.252
Cd: 0.832 0.168 0.748

Its crystal system is orthorhombic. Its space group is Cmmm, No. 65. The energy of formation from the pure elements is -317 meV per atom. As for the total energy: -3.14 eV/atom. Its magnetization is 2.46 Bohr magnetons per cell.

Record 6
Computed, not measured: a geometry-optimized Nd2SmCd structure at the GGA-PBE level of DFT.

Cell: 5.590 5.590 5.590 Å, 60.00 60.00 60.00°
Fractional coordinates of all 4 atoms:
Nd: 0.250 0.250 0.250
Nd: 0.750 0.750 0.750
Sm: 0.000 0.000 0.000
Cd: 0.500 0.500 0.500

Its crystal system is cubic. Its space group is Fm-3m, No. 225. The energy of formation from the pure elements is -30 meV per atom. As for the total energy: -3.82 eV/atom. For the distance to the lowest polymorph of the same formula, the calculation gives 0.117 eV/atom. Its magnetization is 0.00 Bohr magnetons per cell.